[1]
Computed, not measured: Tb2InGa4Pd3 after structural relaxation at the PBE level of DFT.

POSCAR file:
```
Tb2InGa4Pd3
1.0
4.225 0.000 0.000
0.000 4.225 0.000
0.000 0.000 10.956
Tb In Ga Pd
2 1 4 3
direct
0.000 0.500 0.237
0.500 0.000 0.763
0.000 0.000 0.500
0.000 0.000 0.000
0.000 0.500 0.651
0.500 0.000 0.349
0.500 0.500 0.000
0.000 0.500 0.872
0.500 0.000 0.128
0.500 0.500 0.500
```

For the electronic total energy, the calculation gives -4.66 eV per atom. Its formation enthalpy at 0 K is -0.69 eV per atom.

---

[2]
Computed, not measured: HgSbOs2 after structural relaxation at the PBE level of DFT.

POSCAR file:
```
HgSbOs2
1.0
4.127 0.000 0.000
0.000 4.127 0.000
0.000 0.000 19.483
Hg Sb Os
4 4 8
direct
0.000 0.000 0.000
0.000 0.500 0.250
0.500 0.000 0.750
0.500 0.500 0.500
0.000 0.000 0.500
0.000 0.500 0.750
0.500 0.000 0.250
0.500 0.500 0.000
0.162 0.250 0.125
0.250 0.662 0.375
0.250 0.838 0.875
0.338 0.250 0.625
0.662 0.750 0.625
0.750 0.162 0.875
0.750 0.338 0.375
0.838 0.750 0.125
```

For the electronic total energy, the calculation gives -5.63 eV per atom. The distance to the lowest polymorph of the same formula comes out at 585 meV/atom. As for the uncorrected formation energy: 1.087 eV per atom.